## Rb2HoTh2Te6 (PBE)

Data for Rb2HoTh2Te6 after structural relaxation.

Values from the calculation:
- Formation energy from raw total energies: -1.2615 eV per atom
- Crystal system: monoclinic

Cell lengths 7.7383, 13.3771, 9.2541 Å; angles 90.00, 106.39, 90.00 degrees
Last column: nearest neighbours and their distance in Å.
Space group C2/m (No. 12)
Inequivalent atoms, fractional coordinates:
Rb  0.0000  0.1682  0.0000 (multiplicity 4)  6 Te 3.68-3.70
Ho  0.0000  0.0000  0.5000 (multiplicity 2)  6 Te 3.11-3.12
Th  0.0000  0.3328  0.5000 (multiplicity 4)  6 Te 3.16-3.17
Te  0.2341  0.1628  0.7035 (multiplicity 8)  1 Ho 3.11, 2 Th 3.16-3.17
Te  0.2391  0.5000  0.7026 (multiplicity 4)  1 Ho 3.12, 2 Th 3.16

---

## Mn3BeAu (PBE)

Data for Mn3BeAu after structural relaxation.

Values from the calculation:
- Crystal system: cubic
- Raw total energy: -6.403 eV/atom

Cell lengths 4.1282, 4.1282, 4.1282 Å; angles 90.00, 90.00, 90.00 degrees
Last column: nearest neighbours and their distance in Å.
Space group Pm-3m (No. 221)
Inequivalent atoms, fractional coordinates:
Mn  0.0000  0.0000  0.5000 (multiplicity 3)  2 Be 2.06
Be  0.0000  0.0000  0.0000 (multiplicity 1)  6 Mn 2.06
Au  0.5000  0.5000  0.5000 (multiplicity 1)  12 Mn 2.92

---

## LiSc4Ni (PBE)

Data for LiSc4Ni after structural relaxation.

Values from the calculation:
- Crystal system: cubic
- Raw total energy: -4.949 eV/atom

Cell lengths 8.1210, 8.1210, 8.1210 Å; angles 90.00, 90.00, 90.00 degrees
Last column: nearest neighbours and their distance in Å.
Space group F-43m (No. 216)
Inequivalent atoms, fractional coordinates:
Li  0.0000  0.0000  0.0000 (multiplicity 4)  12 Sc 3.37, 4 Ni 3.52
Sc  0.1235  0.1235  0.3765 (multiplicity 16)  6 Sc 2.84-2.91
Ni  0.2500  0.2500  0.7500 (multiplicity 4)  12 Sc 3.36, 4 Li 3.52

---

## ThCoGe2Rh (PBE)

Data for ThCoGe2Rh after structural relaxation.

Values from the calculation:
- Crystal system: tetragonal
- Raw total energy: -6.943 eV/atom

Cell lengths 4.2003, 4.2003, 10.0813 Å; angles 90.00, 90.00, 90.00 degrees
Last column: nearest neighbours and their distance in Å.
Space group I-4m2 (No. 119)
Inequivalent atoms, fractional coordinates:
Th  0.0000  0.0000  0.0000 (multiplicity 2)  8 Ge 3.24, 4 Co 3.28, 4 Rh 3.28
Co  0.0000  0.5000  0.2500 (multiplicity 2)  4 Ge 2.44
Ge  0.0000  0.0000  0.3725 (multiplicity 4)  2 Co 2.44, 2 Rh 2.44, 1 Ge 2.57
Rh  0.0000  0.5000  0.7500 (multiplicity 2)  4 Ge 2.44

---

## InMo2Pt (PBE)

Data for InMo2Pt after structural relaxation.

Values from the calculation:
- Crystal system: tetragonal
- Raw total energy: -7.546 eV/atom

Cell lengths 2.8121, 2.8121, 8.5888 Å; angles 90.00, 90.00, 90.00 degrees
Last column: nearest neighbours and their distance in Å.
Space group P4mm (No. 99)
Inequivalent atoms, fractional coordinates:
In  0.0000  0.0000  0.0000 (multiplicity 1)  4 In 2.81, 4 Pt 2.99, 4 Mo 3.01
Mo  0.0000  0.0000  0.5182 (multiplicity 1)  4 Pt 2.75, 8 Mo 2.81-2.96
Mo  0.5000  0.5000  0.2629 (multiplicity 1)  8 Mo 2.81-2.96, 4 In 3.01
Pt  0.5000  0.5000  0.7400 (multiplicity 1)  4 Mo 2.75, 4 Pt 2.81, 4 In 2.99

---

## BaGa2O4 (PBE)

Data for BaGa2O4 after structural relaxation.

Values from the calculation:
- Formation energy from raw total energies: -2.1177 eV per atom
- Crystal system: monoclinic

Cell lengths 5.5017, 10.7608, 8.6536 Å; angles 90.00, 95.17, 90.00 degrees
Last column: nearest neighbours and their distance in Å.
Space group C2 (No. 5)
Inequivalent atoms, fractional coordinates:
Ba  0.0000  0.0000  0.0000 (multiplicity 2)  4 O 2.63-2.91
Ba  0.0000  0.0672  0.5000 (multiplicity 2)  6 O 2.71-2.90
Ga  0.0056  0.7353  0.3107 (multiplicity 4)  4 O 1.82-1.92
Ga  0.0745  0.3090  0.1820 (multiplicity 4)  4 O 1.82-1.92
O  0.0000  0.3957  0.0000 (multiplicity 2)  2 Ga 1.84
O  0.0000  0.6526  0.5000 (multiplicity 2)  2 Ga 1.87
O  0.1529  0.8936  0.7148 (multiplicity 4)  2 Ga 1.91-1.92
O  0.1696  0.2469  0.7116 (multiplicity 4)  2 Ga 1.82
O  0.2350  0.6607  0.8291 (multiplicity 4)  2 Ga 1.89-1.92

---

## AcLa2Hg5 (PBE)

Data for AcLa2Hg5 after structural relaxation.

Values from the calculation:
- Crystal system: tetragonal
- Raw total energy: -2.400 eV/atom

Cell lengths 5.4946, 5.4946, 15.4625 Å; angles 90.00, 90.00, 90.00 degrees
Last column: nearest neighbours and their distance in Å.
Space group I4/mmm (No. 139)
Inequivalent atoms, fractional coordinates:
Ac  0.0000  0.0000  0.0000 (multiplicity 2)  8 Hg 3.36
La  0.0000  0.0000  0.2708 (multiplicity 4)  9 Hg 3.18-3.55
Hg  0.0000  0.0000  0.5000 (multiplicity 2)  8 Hg 3.36, 2 La 3.54
Hg  0.0000  0.5000  0.1254 (multiplicity 8)  4 La 3.18-3.55, 2 Hg 3.36, 2 Ac 3.36

---

## CoP2W (PBE)

Data for CoP2W after structural relaxation.

Values from the calculation:
- Crystal system: tetragonal
- Raw total energy: -7.956 eV/atom

Cell lengths 3.1370, 3.1370, 5.1818 Å; angles 90.00, 90.00, 90.00 degrees
Last column: nearest neighbours and their distance in Å.
Space group P4mm (No. 99)
Inequivalent atoms, fractional coordinates:
Co  0.0000  0.0000  0.0000 (multiplicity 1)  5 P 2.25-2.32
P  0.0000  0.0000  0.4343 (multiplicity 1)  1 Co 2.25, 4 W 2.46
P  0.5000  0.5000  0.1313 (multiplicity 1)  4 Co 2.32, 1 W 2.56
W  0.5000  0.5000  0.6376 (multiplicity 1)  6 P 2.46-2.62

---

## LiNd6Se8 (PBE)

Data for LiNd6Se8 after structural relaxation.

Values from the calculation:
- Formation energy from raw total energies: -1.7664 eV per atom
- Crystal system: trigonal

Cell lengths 8.7735, 8.7735, 17.8884 Å; angles 90.00, 90.00, 120.00 degrees
Last column: nearest neighbours and their distance in Å.
Space group R-3 (No. 148, hexagonal axes)
Inequivalent atoms, fractional coordinates:
Li  0.0000  0.0000  0.0000 (multiplicity 3)  6 Se 2.83
Nd  0.9998  0.3815  0.9191 (multiplicity 18)  7 Se 2.94-3.17
Se  0.0000  0.0000  0.3287 (multiplicity 6)  6 Nd 3.06-3.13
Se  0.0052  0.2714  0.0876 (multiplicity 18)  1 Li 2.83, 4 Nd 2.94-3.07

---

## SrSeCl2 (PBE)

Data for SrSeCl2 after structural relaxation.

Values from the calculation:
- Formation energy from raw total energies: -1.2035 eV per atom
- Crystal system: tetragonal

Cell lengths 4.8229, 4.8229, 19.1356 Å; angles 90.00, 90.00, 90.00 degrees
Last column: nearest neighbours and their distance in Å.
Space group I-42d (No. 122)
Inequivalent atoms, fractional coordinates:
Sr  0.0000  0.0000  0.0000 (multiplicity 4)  4 Cl 2.97
Se  0.0000  0.0000  0.5000 (multiplicity 4)  4 Cl 2.91
Cl  0.2358  0.2500  0.6250 (multiplicity 8)  2 Se 2.91, 2 Sr 2.97

---

## U2PaRe (PBE)

Data for U2PaRe after structural relaxation.

Values from the calculation:
- Crystal system: cubic
- Raw total energy: -10.874 eV/atom

Cell lengths 6.8979, 6.8979, 6.8979 Å; angles 90.00, 90.00, 90.00 degrees
Last column: nearest neighbours and their distance in Å.
Space group Fm-3m (No. 225)
Inequivalent atoms, fractional coordinates:
U  0.2500  0.2500  0.2500 (multiplicity 8)  4 Pa 2.99, 4 Re 2.99
Pa  0.0000  0.0000  0.0000 (multiplicity 4)  8 U 2.99
Re  0.0000  0.0000  0.5000 (multiplicity 4)  8 U 2.99

---

## CaNd3Pd4 (PBE)

Data for CaNd3Pd4 after structural relaxation.

Values from the calculation:
- Crystal system: cubic
- Raw total energy: -5.373 eV/atom

Cell lengths 7.1957, 7.1957, 7.1957 Å; angles 90.00, 90.00, 90.00 degrees
Last column: nearest neighbours and their distance in Å.
Space group Im-3m (No. 229)
Inequivalent atoms, fractional coordinates:
Ca  0.0000  0.0000  0.0000 (multiplicity 2)  8 Pd 3.12
Nd  0.0000  0.0000  0.5000 (multiplicity 6)  8 Pd 3.12
Pd  0.2500  0.2500  0.2500 (multiplicity 8)  6 Nd 3.12, 2 Ca 3.12

---

Table of theoretical density (g cm⁻³), in record order: 5.66 8.75 3.04 10.07 12.27 4.44 10.73 9.92 6.28 3.54 18.08 8.01